(1)
First-principles (PBE) data for an optimized crystal structure of Hf2CoAg, as listed in the Alexandria database.

Results
As for the total DFT energy (no corrections): -0.266 Ha/atom. The formation energy is 0.24 eV/atom.

Cell lengths 5.8679, 5.8679, 5.8679 Å; angles 103.32, 103.32, 122.63 degrees
Element x y z (fractional)
Hf 0.0814 0.6250 0.9564
Hf 0.3750 0.3314 0.4564
Hf 0.6686 0.1250 0.0436
Hf 0.8750 0.9186 0.5436
Co 0.0000 0.0000 0.0000
Co 0.7500 0.2500 0.5000
Ag 0.2500 0.7500 0.5000
Ag 0.5000 0.5000 0.0000

(2)
First-principles (PBE) data for an optimized crystal structure of Hf6CoAg, as listed in the Alexandria database.

Results
As for the total DFT energy (no corrections): -0.320 Ha/atom. The formation energy is 0.00 eV/atom.

Cell lengths 5.4609, 5.4634, 5.4639 Å; angles 94.87, 94.75, 94.83 degrees
Element x y z (fractional)
Hf 0.0259 0.0694 0.2629
Hf 0.2368 0.4747 0.9307
Hf 0.4306 0.7368 0.4741
Hf 0.5694 0.2632 0.5259
Hf 0.7632 0.5253 0.0693
Hf 0.9741 0.9306 0.7371
Co 0.0000 0.5000 0.5000
Ag 0.5000 0.0000 0.0000

(3)
First-principles (PBE) data for an optimized crystal structure of Hf2Co2Ag, as listed in the Alexandria database.

Results
As for the total DFT energy (no corrections): -0.273 Ha/atom. The formation energy is -0.03 eV/atom.

Cell lengths 7.5191, 7.5191, 2.9728 Å; angles 90.00, 90.00, 90.00 degrees
Element x y z (fractional)
Hf 0.1489 0.3511 0.0000
Hf 0.3511 0.8511 0.0000
Hf 0.6489 0.1489 0.0000
Hf 0.8511 0.6489 0.0000
Co 0.1393 0.6393 0.5000
Co 0.3607 0.1393 0.5000
Co 0.6393 0.8607 0.5000
Co 0.8607 0.3607 0.5000
Ag 0.0000 0.0000 0.0000
Ag 0.5000 0.5000 0.0000

Q: Which of these has the highest total DFT energy (no corrections)?
A: Hf2CoAg